Entry 1:
The following is a DFT calculation (PBE-GGA) of a relaxed CeAl2Cu2Ge crystal.

Results
Total magnetic moment ... 0.195 μB/atom

Lattice parameters (Å, degrees): 4.5284 4.5284 5.6553 90.00 90.00 90.00
Closest atoms and distances in Å follow each position.
Atoms (fractional coordinates):
Ce: 0.0000 0.0000 0.0000  2 Ge 2.83
Al: 0.5000 0.5000 0.2338  1 Al 2.64, 4 Cu 2.72
Al: 0.5000 0.5000 0.7662  1 Al 2.64, 4 Cu 2.72
Cu: 0.0000 0.5000 0.5000  2 Ge 2.26
Cu: 0.5000 0.0000 0.5000  2 Ge 2.26
Ge: 0.0000 0.0000 0.5000  4 Cu 2.26

---

Entry 2:
The following is a DFT calculation (PBE-GGA) of a relaxed CeAlCuGe2 crystal.

Results
Total magnetic moment ... 0.102 μB/atom

Lattice parameters (Å, degrees): 6.4203 6.4203 6.4203 143.40 143.40 52.72
Closest atoms and distances in Å follow each position.
Atoms (fractional coordinates):
Ce: 0.0000 0.0000 0.0000  8 Ge 3.14, 4 Al 3.51, 4 Cu 3.51
Al: 0.2500 0.7500 0.5000  4 Ge 2.55, 4 Cu 2.85
Cu: 0.7500 0.2500 0.5000  4 Ge 2.55, 4 Al 2.85
Ge: 0.3860 0.3860 0.0000  2 Cu 2.55, 2 Al 2.55, 1 Ge 2.62
Ge: 0.6140 0.6140 0.0000  2 Al 2.55, 2 Cu 2.55, 1 Ge 2.62

---

Entry 3:
The following is a DFT calculation (PBE-GGA) of a relaxed Ce2Al4Cu3Hg crystal.

Results
Total magnetic moment ... 0.104 μB/atom

Lattice parameters (Å, degrees): 4.2736 4.2736 10.3808 90.00 90.00 90.00
Closest atoms and distances in Å follow each position.
Atoms (fractional coordinates):
Ce: 0.0000 0.5000 0.2420  8 Al 3.23-3.30, 6 Cu 3.26-3.43, 2 Hg 3.43
Ce: 0.5000 0.0000 0.7580  8 Al 3.23-3.30, 6 Cu 3.26-3.43, 2 Hg 3.43
Al: 0.0000 0.0000 0.0000  4 Cu 2.49
Al: 0.0000 0.5000 0.6472  3 Cu 2.38-2.63, 2 Hg 2.63
Al: 0.5000 0.0000 0.3528  3 Cu 2.38-2.63, 2 Hg 2.63
Al: 0.5000 0.5000 0.0000  4 Cu 2.49
Cu: 0.0000 0.5000 0.8769  5 Al 2.38-2.49
Cu: 0.5000 0.0000 0.1231  5 Al 2.38-2.49
Cu: 0.5000 0.5000 0.5000  4 Al 2.63
Hg: 0.0000 0.0000 0.5000  4 Al 2.63

---

Entry 4:
The following is a DFT calculation (PBE-GGA) of a relaxed CeAl3CuHg crystal.

Results
Total magnetic moment ... 0.181 μB/atom

Lattice parameters (Å, degrees): 7.2607 7.2607 6.1289 90.00 90.00 131.33
Closest atoms and distances in Å follow each position.
Atoms (fractional coordinates):
Ce: 0.2046 0.7954 0.7500  1 Cu 2.83, 2 Hg 3.11
Ce: 0.7954 0.2046 0.2500  1 Cu 2.83, 2 Hg 3.11
Al: 0.2191 0.2191 0.0000  2 Cu 2.52, 3 Al 2.62-2.78
Al: 0.2191 0.2191 0.5000  2 Cu 2.52, 3 Al 2.62-2.78
Al: 0.3789 0.6211 0.2500  1 Cu 2.68, 4 Al 2.78, 1 Hg 2.85
Al: 0.6211 0.3789 0.7500  1 Cu 2.68, 4 Al 2.78, 1 Hg 2.85
Al: 0.7809 0.7809 0.0000  2 Cu 2.52, 3 Al 2.62-2.78
Al: 0.7809 0.7809 0.5000  2 Cu 2.52, 3 Al 2.62-2.78
Cu: 0.4186 0.5814 0.7500  5 Al 2.52-2.68
Cu: 0.5814 0.4186 0.2500  5 Al 2.52-2.68
Hg: 0.1636 0.8364 0.2500  5 Al 2.85-2.96, 2 Ce 3.11, 2 Cu 3.18
Hg: 0.8364 0.1636 0.7500  5 Al 2.85-2.96, 2 Ce 3.11, 2 Cu 3.18

---

no.,DFT formation energy (eV per atom)
1,-0.05
2,-0.45
3,-0.34
4,-0.09